Record 1
Entry from OQMD via LeMat-Bulk: NaSiIrPb after structural relaxation (PBE).

Cell: 4.811 4.811 4.811 Å, 60.00 60.00 60.00°
Fractional positions:
Na1 0.000 0.000 0.000
Si1 0.750 0.750 0.750
Ir1 0.250 0.250 0.250
Pb1 0.500 0.500 0.500

Values from the calculation:
E above lowest polymorph	365	meV/atom
SG	F-43m, No. 216
spin magnetization	0.0	μB/cell

***

Record 2
Entry from OQMD via LeMat-Bulk: AlCdAs after structural relaxation (PBE).

Cell: 4.559 4.559 4.559 Å, 60.00 60.00 60.00°
Fractional positions:
Al1 0.000 0.000 0.000
Cd1 0.250 0.250 0.250
As1 0.750 0.750 0.750

Values from the calculation:
E above lowest polymorph	0	meV/atom
SG	F-43m, No. 216